The following is a DFT calculation (PBE-GGA) of Cu2SiBr after structural relaxation.

Cell: 3.241 3.239 6.453 Å, 90.00 90.00 90.00°
Sites, in units of the cell vectors:
Br 0.500 0.500 0.750
Cu 0.000 0.000 0.060
Cu 0.000 0.000 0.440
Si 0.500 0.500 0.250

Properties
Fermi-level density of states (states/eV per cell): 1.54
Raw formation energy (eV/atom): 0.34
Excess energy over the best structure of this formula in the dataset (meV/atom): 419.4
Volume (Å³/cell): 68
SG: P4/mmm, No. 123